[1]
{"formula": "Sr2InSbAs", "functional": "PBE", "state": "relaxed", "cell": [[-3.1668, 0.0143, 3.1646], [3.4362, -6.8539, 3.4696], [3.9553, 8.0143, 3.9218]], "species": ["Sr", "Sr", "Sr", "Sr", "In", "In", "Sb", "Sb", "As", "As"], "fractional_positions": [[0.7500, 0.8083, 0.5911], [0.7500, 0.8191, 0.0417], [0.2500, 0.1917, 0.4089], [0.2500, 0.1809, 0.9583], [0.2500, 0.4845, 0.8146], [0.7500, 0.5155, 0.1854], [0.2500, 0.7547, 0.3088], [0.7500, 0.2453, 0.6912], [0.2500, 0.7957, 0.8068], [0.7500, 0.2043, 0.1932]], "raw_formation_energy_ev_per_atom": -0.7654, "spacegroup": "P2_1/m (11)"}


[2]
{"formula": "ScVCo4", "functional": "PBE", "state": "relaxed", "cell": [[4.7578, 0.0000, 0.0000], [2.3789, 4.1203, 0.0000], [2.3789, 1.3734, 3.8847]], "species": ["Sc", "Co", "Co", "Co", "Co", "V"], "fractional_positions": [[0.0000, 0.0000, 0.0000], [0.6252, 0.6252, 0.1243], [0.6252, 0.1243, 0.6252], [0.6252, 0.6252, 0.6252], [0.1243, 0.6252, 0.6252], [0.2500, 0.2500, 0.2500]], "ef_ev_per_atom": -0.143, "spacegroup": "F-43m (216)"}


The calculation returns the following spin magnetization values, one per record and in order: 0.0, 1.9 μB per cell.